No. 1
Density functional theory data (PBE) for crystalline NdSmHoSc at its relaxed geometry.

Cell and atoms, written as POSCAR:
```
NdSmHoSc
1.0
6.103 -2.840 0.000
6.103 2.840 0.000
-1.176 0.000 3.610
Nd Sm Ho Sc
1 1 1 1
direct
0.000 0.000 0.000
0.275 0.275 0.783
0.540 0.540 0.541
0.767 0.767 0.271
```

Properties
E above lowest polymorph	0.0	meV per atom
energy of formation	0.10	eV/atom



No. 2
Density functional theory data (PBE) for crystalline BaGa2C at its relaxed geometry.

Cell and atoms, written as POSCAR:
```
BaGa2C
1.0
-3.360 3.360 4.322
3.360 -3.360 4.322
3.360 3.360 -4.322
Ba Ga C
2 4 2
direct
0.000 0.000 0.000
0.750 0.250 0.500
0.287 0.625 0.162
0.375 0.537 0.662
0.463 0.125 0.838
0.875 0.713 0.338
0.250 0.750 0.500
0.500 0.500 0.000
```

Properties
energy of formation	0.51	eV/atom



No. 3
Density functional theory data (PBE) for crystalline NdB3H12 at its relaxed geometry.

Cell and atoms, written as POSCAR:
```
NdB3H12
1.0
7.846 0.000 0.000
-3.923 6.795 0.000
0.000 0.000 5.551
Nd B H
2 6 24
direct
0.333 0.667 0.250
0.667 0.333 0.750
0.067 0.422 0.750
0.355 0.933 0.750
0.422 0.355 0.250
0.578 0.645 0.750
0.645 0.067 0.250
0.933 0.578 0.250
0.013 0.544 0.750
0.069 0.749 0.250
0.168 0.442 0.572
0.168 0.442 0.928
0.251 0.320 0.250
0.275 0.832 0.572
0.275 0.832 0.928
0.320 0.069 0.750
0.442 0.275 0.072
0.442 0.275 0.428
0.456 0.469 0.750
0.469 0.013 0.250
0.531 0.987 0.750
0.544 0.531 0.250
0.558 0.725 0.572
0.558 0.725 0.928
0.680 0.931 0.250
0.725 0.168 0.072
0.725 0.168 0.428
0.749 0.680 0.750
0.832 0.558 0.072
0.832 0.558 0.428
0.931 0.251 0.750
0.987 0.456 0.250
```

Properties
raw total energy	-138.29	eV for the cell shown



No. 4
Density functional theory data (PBE) for crystalline Nd2Co3Si5 at its relaxed geometry.

Cell and atoms, written as POSCAR:
```
Nd2Co3Si5
1.0
5.489 -5.801 0.000
5.489 5.801 0.000
-2.724 0.000 4.909
Nd Co Si
4 6 10
direct
0.102 0.369 0.238
0.369 0.102 0.738
0.631 0.898 0.262
0.898 0.631 0.762
0.037 0.763 0.375
0.237 0.963 0.125
0.495 0.505 0.250
0.505 0.495 0.750
0.763 0.037 0.875
0.963 0.237 0.625
0.010 0.990 0.750
0.242 0.444 0.840
0.267 0.733 0.750
0.282 0.718 0.250
0.444 0.242 0.340
0.556 0.758 0.660
0.718 0.282 0.750
0.733 0.267 0.250
0.758 0.556 0.160
0.990 0.010 0.250
```

Properties
E_form (uncorrected)	-0.720	eV per atom



No. 5
Density functional theory data (PBE) for crystalline CrIn2Ru at its relaxed geometry.

Cell and atoms, written as POSCAR:
```
CrIn2Ru
1.0
-2.023 2.023 4.345
2.023 -2.023 4.345
2.023 2.023 -4.345
Cr In Ru
1 2 1
direct
0.000 0.000 0.000
0.250 0.750 0.500
0.500 0.500 0.000
0.750 0.250 0.500
```

Properties
E above lowest polymorph	157.0	meV per atom
energy of formation	0.30	eV/atom



No. 6
Density functional theory data (PBE) for crystalline Hf2AlCrCu at its relaxed geometry.

Cell and atoms, written as POSCAR:
```
Hf2AlCrCu
1.0
4.661 0.000 0.000
0.000 4.661 0.000
0.000 0.000 4.613
Hf Al Cr Cu
2 1 1 1
direct
0.000 0.500 0.000
0.500 0.000 0.000
0.000 0.000 0.500
0.500 0.500 0.000
0.500 0.500 0.500
```

Properties
energy of formation	0.71	eV/atom



No. 7
Density functional theory data (PBE) for crystalline Pm2PrCd4 at its relaxed geometry.

Cell and atoms, written as POSCAR:
```
Pm2PrCd4
1.0
-2.711 2.711 7.219
2.711 -2.711 7.219
2.711 2.711 -7.219
Pm Pr Cd
2 1 4
direct
0.239 0.239 0.000
0.761 0.761 0.000
0.500 0.500 0.000
0.116 0.616 0.500
0.384 0.884 0.500
0.616 0.116 0.500
0.884 0.384 0.500
```

Properties
E above lowest polymorph	0.0	meV per atom
energy of formation	-0.16	eV/atom



No. 8
Density functional theory data (PBE) for crystalline NiAs2HBr at its relaxed geometry.

Cell and atoms, written as POSCAR:
```
NiAs2HBr
1.0
4.515 0.000 0.000
0.000 4.515 0.000
0.000 0.000 5.463
Ni As H Br
1 2 1 1
direct
0.000 0.000 0.000
0.000 0.500 0.000
0.500 0.000 0.000
0.500 0.500 0.500
0.000 0.000 0.500
```

Properties
E above lowest polymorph	52.1	meV per atom